Entry 1:
CsHf2AgI | GGA-PBE | relaxed

The density is 7.0 g cm⁻³. As for the crystal system: tetragonal. The value obtained for the uncorrected formation energy is 1.279 eV/atom. The calculation puts the magnetization at 0.0 μB per cell. The calculation puts the density of states at the Fermi level at 4.86 states/eV/cell. For the total energy, the calculation gives -18.8 eV per cell. The calculation puts the volume at 34.409 A^3/atom.

The space group is P4/mmm (No. 123) and the conventional cell measures 5.4347, 5.4347 and 5.8249 Å, with angles of 90.00, 90.00 and 90.00 degrees. The inequivalent atoms are Cs at (0.0000, 0.0000, 0.0000), Hf at (0.0000, 0.5000, 0.5000), Ag at (0.5000, 0.5000, 0.0000) and I at (0.5000, 0.5000, 0.5000).



Entry 2:
CsLaHfAg2 | GGA-PBE | relaxed

The density is 6.2 g cm⁻³. For the formation energy, the calculation gives 3.11 eV/f.u. As for the crystal system: tetragonal. The calculation puts the magnetization at 0.0 μB per cell. The calculation puts the density of states at the Fermi level at 5.45 states/eV/cell. For the total energy, the calculation gives -18.3 eV per cell. The calculation puts the volume at 35.402 A^3/atom.

The space group is P4/mmm (No. 123) and the conventional cell measures 5.6353, 5.6353 and 5.5740 Å, with angles of 90.00, 90.00 and 90.00 degrees. The inequivalent atoms are Cs at (0.0000, 0.0000, 0.0000), La at (0.5000, 0.5000, 0.0000), Hf at (0.5000, 0.5000, 0.5000) and Ag at (0.0000, 0.5000, 0.5000).



Entry 3:
Cs2LiHfAg | GGA-PBE | relaxed

The density is 3.5 g cm⁻³. For the formation energy, the calculation gives 4.59 eV/f.u. As for the crystal system: tetragonal. The calculation puts the magnetization at 1.7 μB per cell. The calculation puts the density of states at the Fermi level at 6.34 states/eV/cell. For the total energy, the calculation gives -11.8 eV per cell. The calculation puts the volume at 53.201 A^3/atom.

The space group is P4/mmm (No. 123) and the conventional cell measures 6.9623, 6.9623 and 5.4877 Å, with angles of 90.00, 90.00 and 90.00 degrees. The inequivalent atoms are Cs at (0.0000, 0.5000, 0.0000), Li at (0.0000, 0.0000, 0.5000), Hf at (0.5000, 0.5000, 0.5000) and Ag at (0.5000, 0.5000, 0.0000).



Entry 4:
CsHfAgOs2 | GGA-PBE | relaxed

The density is 10.6 g cm⁻³. For the formation energy, the calculation gives 15.41 eV/f.u. As for the crystal system: tetragonal. The calculation puts the magnetization at 0.0 μB per cell. The calculation puts the density of states at the Fermi level at 5.68 states/eV/cell. For the total energy, the calculation gives -20.7 eV per cell. The calculation puts the volume at 25.056 A^3/atom.

The space group is P4/mmm (No. 123) and the conventional cell measures 4.9833, 4.9833 and 5.0449 Å, with angles of 90.00, 90.00 and 90.00 degrees. The inequivalent atoms are Cs at (0.0000, 0.0000, 0.0000), Hf at (0.5000, 0.5000, 0.5000), Ag at (0.0000, 0.0000, 0.5000) and Os at (0.0000, 0.5000, 0.0000).



Entry 5:
Cs2HfAgS4 | GGA-PBE | relaxed

The density is 4.0 g cm⁻³. As for the crystal system: orthorhombic. The value obtained for the uncorrected formation energy is -1.062 eV/atom. The calculation puts the magnetization at 0.0 μB per cell. The calculation puts the density of states at the Fermi level at 60.92 states/eV/cell. For the total energy, the calculation gives -316.2 eV per cell. The calculation puts the volume at 35.627 A^3/atom.

The space group is Fddd (No. 70, origin choice 2) and the conventional cell measures 6.1420, 14.4847 and 25.6293 Å, with angles of 90.00, 90.00 and 90.00 degrees. The inequivalent atoms are Cs at (0.1250, 0.1250, 0.3026), Hf at (0.1250, 0.1250, 0.1250), Ag at (0.1250, 0.1250, 0.6250) and S at (0.1054, 0.2796, 0.4274).



Entry 6:
Cs2HfAgSe4 | GGA-PBE | relaxed

The density is 4.6 g cm⁻³. As for the crystal system: orthorhombic. The value obtained for the uncorrected formation energy is -1.009 eV/atom. The calculation puts the magnetization at 0.0 μB per cell. The calculation puts the density of states at the Fermi level at 71.87 states/eV/cell. For the total energy, the calculation gives -292.2 eV per cell. The calculation puts the volume at 38.838 A^3/atom.

The space group is Fddd (No. 70, origin choice 2) and the conventional cell measures 6.3078, 14.8684 and 26.5024 Å, with angles of 90.00, 90.00 and 90.00 degrees. The inequivalent atoms are Cs at (0.1250, 0.1250, 0.3034), Hf at (0.1250, 0.1250, 0.1250), Ag at (0.1250, 0.1250, 0.6250) and Se at (0.1075, 0.2767, 0.4292).



Entry 7:
Cs2HfAg2Se4 | GGA-PBE | relaxed

The density is 6.2 g cm⁻³. As for the crystal system: monoclinic. The value obtained for the uncorrected formation energy is -0.921 eV/atom. The calculation puts the magnetization at 0.0 μB per cell. The calculation puts the density of states at the Fermi level at 0.23 states/eV/cell. For the total energy, the calculation gives -79.2 eV per cell. The calculation puts the volume at 29.118 A^3/atom.

The space group is C2/m (No. 12) and the conventional cell measures 15.6795, 4.1637 and 8.4953 Å, with angles of 90.00, 109.08 and 90.00 degrees. The inequivalent atoms are Cs at (0.1368, 0.0000, 0.0737), Hf at (0.0000, 0.0000, 0.5000), Ag at (0.1830, 0.5000, 0.4780), Se at (0.0097, 0.5000, 0.2893) and Se at (0.1798, 0.0000, 0.6773).



Entry 8:
CsHfAgTe4 | GGA-PBE | relaxed

The density is 6.4 g cm⁻³. As for the crystal system: monoclinic. The value obtained for the uncorrected formation energy is -0.528 eV/atom. The calculation puts the magnetization at 0.0 μB per cell. The calculation puts the density of states at the Fermi level at 9.64 states/eV/cell. For the total energy, the calculation gives -59.8 eV per cell. The calculation puts the volume at 34.599 A^3/atom.

The space group is P2_1/m (No. 11) and the conventional cell measures 7.5840, 6.1716 and 11.0036 Å, with angles of 90.00, 109.86 and 90.00 degrees. The inequivalent atoms are Cs at (0.1632, 0.2500, 0.4498), Hf at (0.2797, 0.7500, 0.0601), Ag at (0.0338, 0.2500, 0.8079), Te at (0.1310, 0.2500, 0.0782), Te at (0.3310, 0.7500, 0.3311) and Te at (0.3522, 0.5132, 0.8339).



Entry 9:
Cs2HfAgTe4 | GGA-PBE | relaxed

The density is 5.0 g cm⁻³. As for the crystal system: orthorhombic. The value obtained for the uncorrected formation energy is -0.755 eV/atom. The calculation puts the magnetization at 0.0 μB per cell. The calculation puts the density of states at the Fermi level at 75.99 states/eV/cell. For the total energy, the calculation gives -265.0 eV per cell. The calculation puts the volume at 44.548 A^3/atom.

The space group is Fddd (No. 70, origin choice 2) and the conventional cell measures 6.5828, 15.2751 and 28.3540 Å, with angles of 90.00, 90.00 and 90.00 degrees. The inequivalent atoms are Cs at (0.1250, 0.1250, 0.3034), Hf at (0.1250, 0.1250, 0.1250), Ag at (0.1250, 0.1250, 0.6250) and Te at (0.1131, 0.2718, 0.4310).



Entry 10:
CsHfAg2Te4 | GGA-PBE | relaxed

The density is 5.5 g cm⁻³. As for the crystal system: orthorhombic. The value obtained for the uncorrected formation energy is -0.424 eV/atom. The calculation puts the magnetization at 0.0 μB per cell. The calculation puts the density of states at the Fermi level at 13.76 states/eV/cell. For the total energy, the calculation gives -64.9 eV per cell. The calculation puts the volume at 39.051 A^3/atom.

The space group is I222 (No. 23) and the conventional cell measures 6.9232, 9.1311 and 9.8837 Å, with angles of 90.00, 90.00 and 90.00 degrees. The inequivalent atoms are Cs at (0.0000, 0.0000, 0.0000), Hf at (0.0000, 0.0000, 0.5000), Ag at (0.0000, 0.5000, 0.1430) and Te at (0.2041, 0.1897, 0.3382).



Entry 11:
Cs2HfAg2Te4 | GGA-PBE | relaxed

The density is 6.3 g cm⁻³. As for the crystal system: monoclinic. The value obtained for the uncorrected formation energy is -0.716 eV/atom. The calculation puts the magnetization at 0.0 μB per cell. The calculation puts the density of states at the Fermi level at 2.07 states/eV/cell. For the total energy, the calculation gives -72.7 eV per cell. The calculation puts the volume at 34.549 A^3/atom.

The space group is C2/m (No. 12) and the conventional cell measures 16.6021, 4.4160 and 8.9747 Å, with angles of 90.00, 109.07 and 90.00 degrees. The inequivalent atoms are Cs at (0.1355, 0.0000, 0.0754), Hf at (0.0000, 0.0000, 0.5000), Ag at (0.1878, 0.5000, 0.4803), Te at (0.0131, 0.5000, 0.2864) and Te at (0.1830, 0.0000, 0.6791).



Entry 12:
Cs2HfZrAg | GGA-PBE | relaxed

The density is 4.3 g cm⁻³. For the formation energy, the calculation gives 6.70 eV/f.u. As for the crystal system: tetragonal. The calculation puts the magnetization at 0.0 μB per cell. The calculation puts the density of states at the Fermi level at 6.19 states/eV/cell. For the total energy, the calculation gives -16.4 eV per cell. The calculation puts the volume at 49.480 A^3/atom.

The space group is P4/mmm (No. 123) and the conventional cell measures 6.9641, 6.9641 and 5.1011 Å, with angles of 90.00, 90.00 and 90.00 degrees. The inequivalent atoms are Cs at (0.0000, 0.5000, 0.0000), Hf at (0.0000, 0.0000, 0.5000), Zr at (0.0000, 0.0000, 0.0000) and Ag at (0.5000, 0.5000, 0.5000).



Entry 13:
Cs14AgHg | GGA-PBE | relaxed

The density is 2.3 g cm⁻³. For the formation energy, the calculation gives 0.13 eV/f.u. As for the crystal system: orthorhombic. The calculation puts the magnetization at 0.0 μB per cell. The calculation puts the density of states at the Fermi level at 31.64 states/eV/cell. For the total energy, the calculation gives -29.9 eV per cell. The calculation puts the volume at 97.427 A^3/atom.

The space group is Amm2 (No. 38) and the conventional cell measures 14.2219, 13.7068 and 15.9932 Å, with angles of 90.00, 90.00 and 90.00 degrees. The inequivalent atoms are Cs at (0.0000, 0.0000, 0.0000), Cs at (0.0000, 0.0000, 0.4403), Cs at (0.0000, 0.2055, 0.7235), Cs at (0.2645, 0.0000, 0.2047), Cs at (0.3133, 0.0000, 0.8461), Cs at (0.3172, 0.1785, 0.4965), Cs at (0.5000, 0.2181, 0.2336), Ag at (0.5000, 0.0000, 0.3775) and Hg at (0.5000, 0.0000, 0.0459).



Entry 14:
CsAgHg3 | GGA-PBE | relaxed

The density is 8.7 g cm⁻³. For the formation energy, the calculation gives -0.60 eV/f.u. As for the crystal system: triclinic. The calculation puts the magnetization at 0.0 μB per cell. The calculation puts the density of states at the Fermi level at 3.68 states/eV/cell. For the total energy, the calculation gives -10.4 eV per cell. The calculation puts the volume at 32.285 A^3/atom.

The space group is P-1 (No. 2) and the conventional cell measures 5.9800, 7.5938 and 8.0455 Å, with angles of 117.91, 90.19 and 90.04 degrees. The inequivalent atoms are Cs at (0.0044, 0.1483, 0.2953), Ag at (0.3380, 0.6118, 0.2244), Hg at (0.1473, 0.4071, 0.8198), Hg at (0.4991, 0.8028, 0.0008), Hg at (0.5000, 0.0000, 0.5000) and Hg at (0.5000, 0.5000, 0.5000).



Entry 15:
Cs4Ag2Hg | GGA-PBE | relaxed

The density is 3.7 g cm⁻³. For the formation energy, the calculation gives -0.16 eV/f.u. As for the crystal system: monoclinic. The calculation puts the magnetization at 0.0 μB per cell. The calculation puts the density of states at the Fermi level at 7.92 states/eV/cell. For the total energy, the calculation gives -19.1 eV per cell. The calculation puts the volume at 60.183 A^3/atom.

The space group is C2/m (No. 12) and the conventional cell measures 17.3848, 5.8990 and 9.7098 Å, with angles of 90.00, 122.20 and 90.00 degrees. The inequivalent atoms are Cs at (0.1142, 0.0000, 0.3209), Cs at (0.1535, 0.5000, 0.7903), Ag at (0.2024, 0.5000, 0.2097) and Hg at (0.0000, 0.5000, 0.0000).



Entry 16:
Cs3Ag3Hg2 | GGA-PBE | relaxed

The density is 5.8 g cm⁻³. For the formation energy, the calculation gives -0.56 eV/f.u. As for the crystal system: orthorhombic. The calculation puts the magnetization at 0.0 μB per cell. The calculation puts the density of states at the Fermi level at 6.01 states/eV/cell. For the total energy, the calculation gives -49.1 eV per cell. The calculation puts the volume at 40.191 A^3/atom.

The space group is Cmcm (No. 63) and the conventional cell measures 4.9544, 13.6300 and 19.0454 Å, with angles of 90.00, 90.00 and 90.00 degrees. The inequivalent atoms are Cs at (0.0000, 0.0562, 0.1033), Cs at (0.0000, 0.3577, 0.2500), Ag at (0.0000, 0.3012, 0.0315), Ag at (0.0000, 0.3437, 0.7500) and Hg at (0.0000, 0.2269, 0.6142).



Entry 17:
Cs2AgHg | GGA-PBE | relaxed

The density is 4.2 g cm⁻³. For the formation energy, the calculation gives -0.02 eV/f.u. As for the crystal system: trigonal. The calculation puts the magnetization at 0.0 μB per cell. The calculation puts the density of states at the Fermi level at 10.38 states/eV/cell. For the total energy, the calculation gives -14.6 eV per cell. The calculation puts the volume at 57.051 A^3/atom.

The space group is R3m (No. 160, hexagonal axes) and the conventional cell measures 5.2072, 5.2072 and 29.1545 Å, with angles of 90.00, 90.00 and 120.00 degrees. The inequivalent atoms are Cs at (0.0000, 0.0000, 0.0000), Cs at (0.0000, 0.0000, 0.1577), Ag at (0.0000, 0.0000, 0.4129) and Hg at (0.0000, 0.0000, 0.5776).



Entry 18:
CsAg4Hg | GGA-PBE | relaxed

The density is 8.6 g cm⁻³. For the formation energy, the calculation gives 0.86 eV/f.u. As for the crystal system: cubic. The calculation puts the magnetization at 0.0 μB per cell. The calculation puts the density of states at the Fermi level at 17.85 states/eV/cell. For the total energy, the calculation gives -46.8 eV per cell. The calculation puts the volume at 24.668 A^3/atom.

The space group is F-43m (No. 216) and the conventional cell measures 8.3968, 8.3968 and 8.3968 Å, with angles of 90.00, 90.00 and 90.00 degrees. The inequivalent atoms are Cs at (0.0000, 0.0000, 0.0000), Ag at (0.1238, 0.1238, 0.3762) and Hg at (0.2500, 0.2500, 0.7500).



Entry 19:
Cs2Ag2Hg | GGA-PBE | relaxed

The density is 5.4 g cm⁻³. For the formation energy, the calculation gives -0.28 eV/f.u. As for the crystal system: monoclinic. The calculation puts the magnetization at 0.0 μB per cell. The calculation puts the density of states at the Fermi level at 5.38 states/eV/cell. For the total energy, the calculation gives -31.9 eV per cell. The calculation puts the volume at 41.760 A^3/atom.

The space group is C2/m (No. 12) and the conventional cell measures 13.5674, 5.1644 and 13.1271 Å, with angles of 90.00, 114.76 and 90.00 degrees. The inequivalent atoms are Cs at (0.1031, 0.0000, 0.3967), Cs at (0.2053, 0.5000, 0.1489), Ag at (0.0415, 0.0000, 0.9181), Ag at (0.0951, 0.5000, 0.6095) and Hg at (0.0675, 0.5000, 0.8235).



Entry 20:
Cs4AgHg4 | GGA-PBE | relaxed

The density is 5.6 g cm⁻³. For the formation energy, the calculation gives -1.56 eV/f.u. As for the crystal system: tetragonal. The calculation puts the magnetization at 0.0 μB per cell. The calculation puts the density of states at the Fermi level at 8.78 states/eV/cell. For the total energy, the calculation gives -18.1 eV per cell. The calculation puts the volume at 47.891 A^3/atom.

The space group is P4_2/n (No. 86, origin choice 2) and the conventional cell measures 10.6023, 10.6023 and 7.6687 Å, with angles of 90.00, 90.00 and 90.00 degrees. The inequivalent atoms are Cs at (0.0257, 0.6834, 0.0923), Ag at (0.2500, 0.2500, 0.2500) and Hg at (0.0264, 0.3603, 0.4113).